No. 1
Computed, not measured: a relaxed structure of VGa at the PBE level of DFT.

Lattice parameters (Å, degrees): 6.730 6.730 6.730 109.47 109.47 109.47
Atoms (fractional coordinates):
1 V 0.000 0.000 0.781
2 V 0.000 0.781 0.000
3 V 0.219 0.219 0.219
4 V 0.781 0.000 0.000
5 Ga 0.000 0.000 0.404
6 Ga 0.000 0.404 0.000
7 Ga 0.404 0.000 0.000
8 Ga 0.596 0.596 0.596

Values from the calculation:
Spin magnetization ... 0.0 μB/cell
Space-group type ... I-43m, No. 217
Formation energy ... 0.945 eV/atom
Density of states at the Fermi level ... 0.989 states/eV/atom



No. 2
Computed, not measured: a relaxed structure of V5Ga3 at the PBE level of DFT.

Lattice parameters (Å, degrees): 8.575 8.575 8.575 155.15 155.15 35.43
Atoms (fractional coordinates):
1 V 0.000 0.000 0.000
2 V 0.249 0.249 0.000
3 V 0.625 0.125 0.500
4 V 0.751 0.751 0.000
5 V 0.875 0.375 0.500
6 Ga 0.130 0.630 0.500
7 Ga 0.370 0.870 0.500
8 Ga 0.500 0.500 0.000

Values from the calculation:
Spin magnetization ... 0.0 μB/cell
Space-group type ... I-4m2, No. 119
Formation energy ... -0.169 eV/atom
Density of states at the Fermi level ... 0.755 states/eV/atom



No. 3
Computed, not measured: a relaxed structure of VGa at the PBE level of DFT.

Lattice parameters (Å, degrees): 3.550 3.550 3.550 60.00 60.00 60.00
Atoms (fractional coordinates):
1 V 0.000 0.000 0.000
2 Ga 0.500 0.500 0.500

Values from the calculation:
Spin magnetization ... 0.0 μB/cell
Space-group type ... Fm-3m, No. 225
Formation energy ... 0.254 eV/atom
Density of states at the Fermi level ... 0.526 states/eV/atom



No. 4
Computed, not measured: a relaxed structure of VGa3 at the PBE level of DFT.

Lattice parameters (Å, degrees): 2.745 4.678 4.793 90.00 90.00 90.00
Atoms (fractional coordinates):
1 V 0.000 0.000 0.000
2 Ga 0.000 0.500 0.311
3 Ga 0.500 0.000 0.490
4 Ga 0.500 0.500 0.820

Values from the calculation:
Spin magnetization ... 0.0 μB/cell
Space-group type ... Pmm2, No. 25
Formation energy ... -0.055 eV/atom
Density of states at the Fermi level ... 0.460 states/eV/atom



No. 5
Computed, not measured: a relaxed structure of V5Ga6 at the PBE level of DFT.

Lattice parameters (Å, degrees): 6.022 6.022 6.448 97.65 97.65 130.97
Atoms (fractional coordinates):
1 V 0.000 0.000 0.000
2 V 0.282 0.718 0.000
3 V 0.345 0.655 0.500
4 V 0.655 0.345 0.500
5 V 0.718 0.282 0.000
6 Ga 0.093 0.812 0.300
7 Ga 0.188 0.907 0.700
8 Ga 0.475 0.475 0.792
9 Ga 0.525 0.525 0.208
10 Ga 0.812 0.093 0.300
11 Ga 0.907 0.188 0.700

Values from the calculation:
Spin magnetization ... 0.0 μB/cell
Space-group type ... C2/m, No. 12
Formation energy ... 0.030 eV/atom
Density of states at the Fermi level ... 0.642 states/eV/atom



No. 6
Computed, not measured: a relaxed structure of V5Ga at the PBE level of DFT.

Lattice parameters (Å, degrees): 6.536 6.536 3.110 90.00 90.00 142.12
Atoms (fractional coordinates):
1 V 0.000 0.000 0.000
2 V 0.162 0.838 0.500
3 V 0.324 0.676 0.000
4 V 0.676 0.324 0.000
5 V 0.838 0.162 0.500
6 Ga 0.500 0.500 0.500

Values from the calculation:
Spin magnetization ... 0.0 μB/cell
Space-group type ... Cmmm, No. 65
Formation energy ... -0.115 eV/atom
Density of states at the Fermi level ... 1.013 states/eV/atom



No. 7
Computed, not measured: a relaxed structure of V2Ga at the PBE level of DFT.

Lattice parameters (Å, degrees): 6.399 6.399 3.333 90.00 90.00 142.56
Atoms (fractional coordinates):
1 V 0.079 0.921 0.750
2 V 0.238 0.762 0.250
3 V 0.762 0.238 0.750
4 V 0.921 0.079 0.250
5 Ga 0.409 0.591 0.750
6 Ga 0.591 0.409 0.250

Values from the calculation:
Spin magnetization ... 0.0 μB/cell
Space-group type ... Cmcm, No. 63
Formation energy ... -0.182 eV/atom
Density of states at the Fermi level ... 0.872 states/eV/atom



No. 8
Computed, not measured: a relaxed structure of V2Ga at the PBE level of DFT.

Lattice parameters (Å, degrees): 4.980 4.980 4.980 60.00 60.00 60.00
Atoms (fractional coordinates):
1 V 0.000 0.000 0.000
2 V 0.000 0.000 0.500
3 V 0.000 0.500 0.000
4 V 0.500 0.000 0.000
5 Ga 0.375 0.375 0.375
6 Ga 0.625 0.625 0.625

Values from the calculation:
Spin magnetization ... 0.0 μB/cell
Space-group type ... Fd-3m, No. 227
Formation energy ... 0.164 eV/atom
Density of states at the Fermi level ... 1.472 states/eV/atom



Copy entry 6 word for word.
Computed, not measured: a relaxed structure of V5Ga at the PBE level of DFT.

Lattice parameters (Å, degrees): 6.536 6.536 3.110 90.00 90.00 142.12
Atoms (fractional coordinates):
1 V 0.000 0.000 0.000
2 V 0.162 0.838 0.500
3 V 0.324 0.676 0.000
4 V 0.676 0.324 0.000
5 V 0.838 0.162 0.500
6 Ga 0.500 0.500 0.500

Values from the calculation:
Spin magnetization ... 0.0 μB/cell
Space-group type ... Cmmm, No. 65
Formation energy ... -0.115 eV/atom
Density of states at the Fermi level ... 1.013 states/eV/atom



Number 7 is which compound? V2Ga